# 1
Density functional theory data (GGA-PBE) for a geometry-optimized CeEr5Ir6 structure.

For the uncorrected energy, the calculation gives -7.6737 eV per atom. The value obtained for the formation energy is -0.847 eV/atom. The crystal system is monoclinic.

Structure (CIF):
```
data_CeEr5Ir6
_cell_length_a 4.7571
_cell_length_b 7.0612
_cell_length_c 7.5045
_cell_angle_alpha 90.00
_cell_angle_beta 108.41
_cell_angle_gamma 90.00
_symmetry_space_group_name_H-M 'P 1 2/m 1'
_symmetry_Int_Tables_number 10
loop_
_symmetry_equiv_pos_as_xyz
'x,y,z'
'-x,-y,-z'
'-x,y,-z'
'x,-y,z'
loop_
_atom_site_label
_atom_site_fract_x
_atom_site_fract_y
_atom_site_fract_z
Ce1 0.0000 0.0000 0.0000
Er1 0.0000 0.5000 0.0000
Er2 0.3312 0.0000 0.6623
Er3 0.3325 0.5000 0.6649
Ir1 0.1651 0.2500 0.3304
Ir2 0.5000 0.2503 0.0000
```

# 2
Density functional theory data (GGA-PBE) for a geometry-optimized SmPuMnCu structure.

For the uncorrected energy, the calculation gives -7.7563 eV per atom. The value obtained for the formation energy is 0.323 eV/atom. The crystal system is cubic.

Structure (CIF):
```
data_SmPuMnCu
_cell_length_a 7.0627
_cell_length_b 7.0627
_cell_length_c 7.0627
_cell_angle_alpha 90.00
_cell_angle_beta 90.00
_cell_angle_gamma 90.00
_symmetry_space_group_name_H-M 'F -4 3 m'
_symmetry_Int_Tables_number 216
_symmetry_space_group_name_Hall 'F -4 2 3'
loop_
_atom_site_label
_atom_site_fract_x
_atom_site_fract_y
_atom_site_fract_z
Sm1 0.0000 0.0000 0.0000
Pu1 0.0000 0.0000 0.5000
Mn1 0.2500 0.2500 0.7500
Cu1 0.2500 0.2500 0.2500
```

# 3
Density functional theory data (GGA-PBE) for a geometry-optimized LaYSe2S structure.

The value obtained for the uncorrected formation energy is -1.84 eV/atom. For the uncorrected energy, the calculation gives -6.3344 eV per atom. The crystal system is tetragonal.

Structure (CIF):
```
data_LaYSe2S
_cell_length_a 4.2474
_cell_length_b 4.2474
_cell_length_c 14.8224
_cell_angle_alpha 90.00
_cell_angle_beta 90.00
_cell_angle_gamma 90.00
_symmetry_space_group_name_H-M 'P 4/n m m'
_symmetry_Int_Tables_number 129
loop_
_symmetry_equiv_pos_as_xyz
'x,y,z'
'-x,-y,-z'
'-y+1/2,x,z'
'y+1/2,-x,-z'
'-x+1/2,-y+1/2,z'
'x+1/2,y+1/2,-z'
'y,-x+1/2,z'
'-y,x+1/2,-z'
'x+1/2,-y,-z'
'-x+1/2,y,z'
'-y,-x,-z'
'y,x,z'
'-x,y+1/2,-z'
'x,-y+1/2,z'
'y+1/2,x+1/2,-z'
'-y+1/2,-x+1/2,z'
loop_
_atom_site_label
_atom_site_fract_x
_atom_site_fract_y
_atom_site_fract_z
La1 0.2500 0.2500 0.1252
Y1 0.2500 0.2500 0.6063
Se1 0.2500 0.2500 0.4068
Se2 0.2500 0.2500 0.7893
S1 0.2500 0.7500 0.0000
```

# 4
Density functional theory data (GGA-PBE) for a geometry-optimized LaPmPr5Sm2 structure.

For the uncorrected energy, the calculation gives -4.5264 eV per atom. The value obtained for the formation energy is 0.253 eV/atom. The crystal system is tetragonal.

Structure (CIF):
```
data_LaPmPr5Sm2
_cell_length_a 9.0303
_cell_length_b 9.0303
_cell_length_c 15.8880
_cell_angle_alpha 90.00
_cell_angle_beta 90.00
_cell_angle_gamma 90.00
_symmetry_space_group_name_H-M 'I 4/m c m'
_symmetry_Int_Tables_number 140
_symmetry_space_group_name_Hall '-I 4 2c'
loop_
_atom_site_label
_atom_site_fract_x
_atom_site_fract_y
_atom_site_fract_z
La1 0.0000 0.0000 0.2500
Pm1 0.0000 0.5000 0.2500
Pr1 0.0000 0.0000 0.0000
Pr2 0.2037 0.2963 0.1364
Sm1 0.1168 0.3832 0.5000
```

# 5
Density functional theory data (GGA-PBE) for a geometry-optimized GdZnPdPt structure.

For the uncorrected energy, the calculation gives -7.4216 eV per atom. The value obtained for the formation energy is -0.774 eV/atom. The crystal system is cubic.

Structure (CIF):
```
data_GdZnPdPt
_cell_length_a 6.6704
_cell_length_b 6.6704
_cell_length_c 6.6704
_cell_angle_alpha 90.00
_cell_angle_beta 90.00
_cell_angle_gamma 90.00
_symmetry_space_group_name_H-M 'F -4 3 m'
_symmetry_Int_Tables_number 216
_symmetry_space_group_name_Hall 'F -4 2 3'
loop_
_atom_site_label
_atom_site_fract_x
_atom_site_fract_y
_atom_site_fract_z
Gd1 0.0000 0.0000 0.0000
Zn1 0.0000 0.0000 0.5000
Pd1 0.2500 0.2500 0.2500
Pt1 0.2500 0.2500 0.7500
```

# 6
Density functional theory data (GGA-PBE) for a geometry-optimized AgC2 structure.

As for the energy above the lowest structure with this stoichiometry: 1712.8 meV/atom. For the uncorrected energy, the calculation gives -5.0543 eV per atom. The value obtained for the formation energy is 2.045 eV/atom. The crystal system is tetragonal.

Structure (CIF):
```
data_AgC2
_cell_length_a 5.0832
_cell_length_b 5.0832
_cell_length_c 5.8496
_cell_angle_alpha 90.00
_cell_angle_beta 90.00
_cell_angle_gamma 90.00
_symmetry_space_group_name_H-M 'I 4/m c m'
_symmetry_Int_Tables_number 140
_symmetry_space_group_name_Hall '-I 4 2c'
loop_
_atom_site_label
_atom_site_fract_x
_atom_site_fract_y
_atom_site_fract_z
Ag1 0.0000 0.0000 0.2500
C1 0.0897 0.4103 0.0000
```

DOS(E_F) across the listed records, respectively: 4.51 12.86 1.85 14.59 2.28 2.11 states/eV/f.u..